# PaTl3Co2O6

A relaxed structure of PaTl3Co2O6 (PBE+U, Alexandria via LeMat-Bulk).

```
PaTl3Co2O6
1.0
2.852 -4.942 0.000
2.852 4.942 0.000
-1.889 0.000 6.566
Pa Tl Co O
1 3 2 6
Cartesian
0.000 0.000 0.000 Pa
1.907 3.258 3.283 Tl
1.907 0.000 3.283 Tl
1.907 -3.258 3.283 Tl
2.852 1.646 0.000 Co
2.852 -1.646 0.000 Co
0.952 1.652 1.113 O
0.013 0.000 5.464 O
0.952 -1.652 1.113 O
2.862 1.652 5.453 O
3.801 0.000 1.101 O
2.862 -1.652 5.453 O
```

Computed properties:
Magnetic moment: 0.503 μB per atom
Density: 9.5 Mg/m³
Total energy: -0.2289 hartree per atom